[1]
## MnMoOs2 (PBE-GGA)

Data for a geometry-optimized MnMoOs2 structure.

Computed properties:
- density (Mg/m³) = 15.85
- total energy (Ha/atom) = -0.3868
- symmetry = No. 123

Geometry as POSCAR:
```
MnMoOs2
1.0
2.720 0.000 0.000
0.000 2.720 0.000
0.000 0.000 7.523
Mn Mo Os
1 1 2
Direct
0.000 0.000 0.000
0.000 0.000 0.500
0.500 0.500 0.228
0.500 0.500 0.772
```

[2]
## Mn2MoOs (PBE-GGA)

Data for a geometry-optimized Mn2MoOs structure.

Computed properties:
- density (Mg/m³) = 12.43
- total energy (Ha/atom) = -0.3664
- symmetry = No. 65

Geometry as POSCAR:
```
Mn2MoOs
1.0
2.697 -3.646 0.000
2.697 3.646 0.000
0.000 0.000 2.691
Mn Mo Os
2 1 1
Direct
0.000 0.500 0.000
0.500 0.000 0.000
0.000 0.000 0.500
0.500 0.500 0.500
```

> What is the density in the first record?

15.85 Mg/m³